Version 1
The following is a GGA-PBEsol calculation of a relaxed structure of BaCaZr2, from Alexandria.

Space group = P4/mmm (123)
Density = 4.894 Mg/m³

Lattice parameters (Å, degrees): 3.9030 3.9030 8.0155 90.00 90.00 90.00
Closest atoms and distances in Å follow each position.
Fractional positions:
Ba: 0.0000 0.0000 0.0000  8 Zr 3.69, 4 Ba 3.90, 2 Ca 4.01
Ca: 0.0000 0.0000 0.5000  8 Zr 3.17
Zr: 0.5000 0.5000 0.3049  1 Zr 3.13, 4 Ca 3.17
Zr: 0.5000 0.5000 0.6951  1 Zr 3.13, 4 Ca 3.17

***

Version 2
The following is a GGA-PBEsol calculation of a relaxed structure of BaCaZr2, from Alexandria.

Space group = P2/m (10)
Density = 5.044 Mg/m³

Lattice parameters (Å, degrees): 3.2047 5.8377 6.4926 90.00 102.76 90.00
Closest atoms and distances in Å follow each position.
Fractional positions:
Ba: 0.0000 0.0000 0.0000  2 Ba 3.20, 2 Ca 3.29
Ca: 0.5000 0.0000 0.5000  2 Ca 3.20, 2 Ba 3.29, 4 Zr 3.31
Zr: 0.3226 0.5000 0.7050  4 Zr 2.99-3.20, 2 Ca 3.31
Zr: 0.6774 0.5000 0.2950  4 Zr 2.99-3.20, 2 Ca 3.31

***

Version 3
The following is a GGA-PBEsol calculation of a relaxed structure of BaCaZr2, from Alexandria.

Space group = I4/mmm (139)
Density = 5.247 Mg/m³

Lattice parameters (Å, degrees): 6.2502 6.2502 6.2502 136.58 136.58 63.08
Closest atoms and distances in Å follow each position.
Fractional positions:
Ba: 0.0000 0.0000 0.0000  4 Ca 3.27, 8 Zr 3.53
Ca: 0.5000 0.5000 0.0000  4 Ba 3.27, 8 Zr 3.53
Zr: 0.2500 0.7500 0.5000  4 Zr 3.27, 4 Ba 3.53, 4 Ca 3.53
Zr: 0.7500 0.2500 0.5000  4 Zr 3.27, 4 Ba 3.53, 4 Ca 3.53

***

Version 4
The following is a GGA-PBEsol calculation of a relaxed structure of BaCaZr2, from Alexandria.

Space group = Cmmm (65)
Density = 5.214 Mg/m³

Lattice parameters (Å, degrees): 3.2550 3.2550 12.1625 90.00 90.00 117.20
Closest atoms and distances in Å follow each position.
Fractional positions:
Ba: 0.0000 0.0000 0.0000  6 Ba 3.25-3.39, 4 Zr 3.56
Ca: 0.0000 0.0000 0.5000  6 Ca 3.25-3.39, 4 Zr 3.41
Zr: 0.5000 0.5000 0.2572  6 Zr 3.25-3.39, 2 Ca 3.41, 2 Ba 3.56
Zr: 0.5000 0.5000 0.7428  6 Zr 3.25-3.39, 2 Ca 3.41, 2 Ba 3.56

***

The structure with the least stability is version 1.

***

Version 1
The following is a GGA-PBEsol calculation of a relaxed structure of BaCaZr, from Alexandria.

Space group = I4mm (107)
Density = 4.355 Mg/m³

Lattice parameters (Å, degrees): 8.6033 8.6033 8.6033 156.34 156.34 33.70
Closest atoms and distances in Å follow each position.
Fractional positions:
Ba: 0.0000 0.0000 0.0000  4 Ba 3.53, 4 Zr 3.58
Ca: 0.7014 0.7014 0.0000  4 Zr 3.43, 4 Ca 3.53
Zr: 0.3442 0.3442 0.0000  4 Ca 3.43, 4 Zr 3.53, 4 Ba 3.58

***

Version 2
The following is a GGA-PBEsol calculation of a relaxed structure of BaCaZr, from Alexandria.

Space group = F-43m (216)
Density = 3.480 Mg/m³

Lattice parameters (Å, degrees): 5.6595 5.6595 5.6595 60.00 60.00 60.00
Closest atoms and distances in Å follow each position.
Fractional positions:
Ba: 0.0000 0.0000 0.0000  4 Zr 3.47
Ca: 0.5000 0.5000 0.5000  4 Zr 3.47
Zr: 0.7500 0.7500 0.7500  4 Ba 3.47, 4 Ca 3.47

***

The structure with the least stability is version 2.

***

Version 1
The following is a GGA-PBEsol calculation of a relaxed structure of Ba3Cd, from Alexandria.

Space group = Pnma (62)
Density = 4.623 Mg/m³

Lattice parameters (Å, degrees): 8.5797 11.2541 7.8029 90.00 90.00 90.00
Closest atoms and distances in Å follow each position.
Fractional positions:
Ba: 0.0161 0.2500 0.1124  2 Cd 3.48-3.50
Ba: 0.1845 0.0553 0.6771  2 Cd 3.47-3.59
Ba: 0.1845 0.4447 0.6771  2 Cd 3.47-3.59
Ba: 0.3155 0.5553 0.1771  2 Cd 3.47-3.59
Ba: 0.3155 0.9447 0.1771  2 Cd 3.47-3.59
Ba: 0.4839 0.7500 0.6124  2 Cd 3.48-3.50
Ba: 0.5161 0.2500 0.3876  2 Cd 3.48-3.50
Ba: 0.6845 0.0553 0.8229  2 Cd 3.47-3.59
Ba: 0.6845 0.4447 0.8229  2 Cd 3.47-3.59
Ba: 0.8155 0.5553 0.3229  2 Cd 3.47-3.59
Ba: 0.8155 0.9447 0.3229  2 Cd 3.47-3.59
Ba: 0.9839 0.7500 0.8876  2 Cd 3.48-3.50
Cd: 0.1037 0.7500 0.4584  6 Ba 3.47-3.59
Cd: 0.3963 0.2500 0.9584  6 Ba 3.47-3.59
Cd: 0.6037 0.7500 0.0416  6 Ba 3.47-3.59
Cd: 0.8963 0.2500 0.5416  6 Ba 3.47-3.59

***

Version 2
The following is a GGA-PBEsol calculation of a relaxed structure of Ba3Cd, from Alexandria.

Space group = Immm (71)
Density = 4.770 Mg/m³

Lattice parameters (Å, degrees): 7.7054 7.7054 7.7054 147.47 131.54 59.58
Closest atoms and distances in Å follow each position.
Fractional positions:
Ba: 0.0000 0.0000 0.0000  4 Cd 3.83, 4 Ba 4.18
Ba: 0.2956 0.7956 0.5000  2 Cd 3.48
Ba: 0.7044 0.2044 0.5000  2 Cd 3.48
Cd: 0.5000 0.5000 0.0000  8 Ba 3.48-3.83

***

Version 3
The following is a GGA-PBEsol calculation of a relaxed structure of Ba3Cd, from Alexandria.

Space group = P4/mmm (123)
Density = 4.600 Mg/m³

Lattice parameters (Å, degrees): 4.2222 4.2222 10.6181 90.00 90.00 90.00
Closest atoms and distances in Å follow each position.
Fractional positions:
Ba: 0.0000 0.0000 0.0000  12 Ba 4.22-4.50
Ba: 0.5000 0.5000 0.3167  4 Cd 3.56, 1 Ba 3.89
Ba: 0.5000 0.5000 0.6833  4 Cd 3.56, 1 Ba 3.89
Cd: 0.0000 0.0000 0.5000  8 Ba 3.56

***

The structure with the least stability is version 2.

***

Version 1
The following is a GGA-PBEsol calculation of a relaxed structure of BaCdCl, from Alexandria.

Space group = F-43m (216)
Density = 4.651 Mg/m³

Lattice parameters (Å, degrees): 5.2413 5.2413 5.2413 60.00 60.00 60.00
Closest atoms and distances in Å follow each position.
Fractional positions:
Ba: 0.0000 0.0000 0.0000  4 Cl 3.21
Cd: 0.5000 0.5000 0.5000  4 Cl 3.21
Cl: 0.2500 0.2500 0.2500  4 Ba 3.21, 4 Cd 3.21

***

Version 2
The following is a GGA-PBEsol calculation of a relaxed structure of BaCdCl, from Alexandria.

Space group = P-6m2 (187)
Density = 4.373 Mg/m³

Lattice parameters (Å, degrees): 5.1872 5.1872 4.6478 90.00 90.00 120.00
Closest atoms and distances in Å follow each position.
Fractional positions:
Ba: 0.0000 0.0000 0.0000  3 Cl 2.99
Cd: 0.3333 0.6667 0.5000  6 Ba 3.79, 6 Cl 3.79
Cl: 0.6667 0.3333 0.0000  3 Ba 2.99

***

The structure with the least stability is version 1.

***

Version 1
The following is a GGA-PBEsol calculation of a relaxed structure of BaCdCl2, from Alexandria.

Space group = C2/m (12)
Density = 3.402 Mg/m³

Lattice parameters (Å, degrees): 4.7782 4.7782 8.3756 106.41 106.41 59.96
Closest atoms and distances in Å follow each position.
Fractional positions:
Ba: 0.0000 0.0000 0.0000  6 Cl 3.06
Cd: 0.5000 0.5000 0.5000  6 Cl 3.81-3.82
Cl: 0.2780 0.2780 0.8326  3 Ba 3.06
Cl: 0.7220 0.7220 0.1674  3 Ba 3.06

***

Version 2
The following is a GGA-PBEsol calculation of a relaxed structure of BaCdCl2, from Alexandria.

Space group = P4/mmm (123)
Density = 4.929 Mg/m³

Lattice parameters (Å, degrees): 5.0635 5.0635 4.2133 90.00 90.00 90.00
Closest atoms and distances in Å follow each position.
Fractional positions:
Ba: 0.0000 0.0000 0.0000  8 Cl 3.29, 4 Cd 3.58
Cd: 0.5000 0.5000 0.0000  8 Cl 3.29, 4 Ba 3.58
Cl: 0.0000 0.5000 0.5000  4 Cd 3.29, 4 Ba 3.29, 4 Cl 3.58
Cl: 0.5000 0.0000 0.5000  4 Cd 3.29, 4 Ba 3.29, 4 Cl 3.58

***

The structure with the least stability is version 2.

***

Version 1
The following is a GGA-PBEsol calculation of a relaxed structure of Ba2CdHg, from Alexandria.

Space group = P4/mmm (123)
Density = 6.959 Mg/m³

Lattice parameters (Å, degrees): 5.8327 5.8327 4.1220 90.00 90.00 90.00
Closest atoms and distances in Å follow each position.
Fractional positions:
Ba: 0.0000 0.5000 0.0000  4 Hg 3.57, 4 Cd 3.57
Ba: 0.5000 0.0000 0.0000  4 Hg 3.57, 4 Cd 3.57
Cd: 0.0000 0.0000 0.5000  8 Ba 3.57
Hg: 0.5000 0.5000 0.5000  8 Ba 3.57

***

Version 2
The following is a GGA-PBEsol calculation of a relaxed structure of Ba2CdHg, from Alexandria.

Space group = Cm (8)
Density = 7.143 Mg/m³

Lattice parameters (Å, degrees): 6.6219 6.6219 5.7804 110.25 110.25 35.34
Closest atoms and distances in Å follow each position.
Fractional positions:
Ba: 0.0000 0.0000 0.0000  3 Hg 3.56-3.73, 4 Cd 3.57-3.64, 2 Ba 3.67-3.69
Ba: 0.1940 0.1940 0.6519  4 Hg 3.57-3.59, 3 Cd 3.65-3.67, 2 Ba 3.67-3.69
Cd: 0.4332 0.4332 0.4394  2 Hg 3.00
Hg: 0.7498 0.7498 0.1979  2 Cd 3.00

***

Version 3
The following is a GGA-PBEsol calculation of a relaxed structure of Ba2CdHg, from Alexandria.

Space group = F-43m (216)
Density = 8.034 Mg/m³

Lattice parameters (Å, degrees): 5.5587 5.5587 5.5587 60.00 60.00 60.00
Closest atoms and distances in Å follow each position.
Fractional positions:
Ba: 0.0000 0.0000 0.0000  4 Hg 3.40, 4 Ba 3.40
Ba: 0.2500 0.2500 0.2500  4 Ba 3.40, 4 Cd 3.40
Cd: 0.5000 0.5000 0.5000  4 Ba 3.40, 4 Hg 3.40
Hg: 0.7500 0.7500 0.7500  4 Cd 3.40, 4 Ba 3.40

***

The structure with the least stability is version 3.

***

Version 1
The following is a GGA-PBEsol calculation of a relaxed structure of KBaCd2, from Alexandria.

Space group = I-4m2 (119)
Density = 5.435 Mg/m³

Lattice parameters (Å, degrees): 5.5675 5.5675 5.5675 119.70 119.70 90.53
Closest atoms and distances in Å follow each position.
Fractional positions:
K: 0.0000 0.0000 0.0000  4 Cd 3.41, 4 Ba 3.41
Ba: 0.2500 0.7500 0.5000  4 Cd 3.41, 4 K 3.41
Cd: 0.5000 0.5000 0.0000  4 Ba 3.41, 4 Cd 3.41
Cd: 0.7500 0.2500 0.5000  4 Cd 3.41, 4 K 3.41

***

Version 2
The following is a GGA-PBEsol calculation of a relaxed structure of KBaCd2, from Alexandria.

Space group = P4/mmm (123)
Density = 4.606 Mg/m³

Lattice parameters (Å, degrees): 4.1163 4.1163 8.5365 90.00 90.00 90.00
Closest atoms and distances in Å follow each position.
Fractional positions:
K: 0.0000 0.0000 0.0000  8 Cd 3.70, 4 K 4.12
Ba: 0.0000 0.0000 0.5000  8 Cd 3.52
Cd: 0.5000 0.5000 0.2672  4 Ba 3.52, 4 K 3.70
Cd: 0.5000 0.5000 0.7328  4 Ba 3.52, 4 K 3.70

***

The structure with the least stability is version 1.

***

Version 1
The following is a GGA-PBEsol calculation of a relaxed structure of KBaCd2, from Alexandria.

Space group = Fm-3m (225)
Density = 4.764 Mg/m³

Lattice parameters (Å, degrees): 5.8263 5.8263 5.8263 60.00 60.00 60.00
Closest atoms and distances in Å follow each position.
Fractional positions:
K: 0.0000 0.0000 0.0000  8 Cd 3.57
Ba: 0.5000 0.5000 0.5000  8 Cd 3.57
Cd: 0.2500 0.2500 0.2500  4 Ba 3.57, 4 K 3.57
Cd: 0.7500 0.7500 0.7500  4 Ba 3.57, 4 K 3.57

***

Version 2
The following is a GGA-PBEsol calculation of a relaxed structure of KBaCd2, from Alexandria.

Space group = Amm2 (38)
Density = 4.361 Mg/m³

Lattice parameters (Å, degrees): 5.0203 6.7444 6.7444 42.00 90.00 90.00
Closest atoms and distances in Å follow each position.
Fractional positions:
K: 0.0000 0.0000 0.0000  7 Cd 3.56-3.69
Ba: 0.5000 0.2945 0.2945  7 Cd 3.54-3.71
Cd: 0.0000 0.7072 0.7072  2 Cd 2.92
Cd: 0.5000 0.5895 0.5895  2 Cd 2.92

***

The structure with the least stability is version 1.

***

Version 1
The following is a GGA-PBEsol calculation of a relaxed structure of BaLaCd, from Alexandria.

Space group = I4mm (107)
Density = 5.843 Mg/m³

Lattice parameters (Å, degrees): 7.4884 7.4884 7.4884 149.09 149.09 44.27
Closest atoms and distances in Å follow each position.
Fractional positions:
Ba: 0.0000 0.0000 0.0000  4 Cd 3.60, 1 La 3.86, 4 Ba 3.99
La: 0.7215 0.7215 0.0000  4 Cd 3.26
Cd: 0.3390 0.3390 0.0000  4 La 3.26, 4 Ba 3.60

***

Version 2
The following is a GGA-PBEsol calculation of a relaxed structure of BaLaCd, from Alexandria.

Space group = F-43m (216)
Density = 6.092 Mg/m³

Lattice parameters (Å, degrees): 5.3112 5.3112 5.3112 60.00 60.00 60.00
Closest atoms and distances in Å follow each position.
Fractional positions:
Ba: 0.0000 0.0000 0.0000  4 La 3.25
La: 0.7500 0.7500 0.7500  4 Cd 3.25, 4 Ba 3.25
Cd: 0.5000 0.5000 0.5000  4 La 3.25

***

The structure with the least stability is version 2.

***

Version 1
The following is a GGA-PBEsol calculation of a relaxed structure of BaLi2Cd2, from Alexandria.

Space group = P4/mbm (127)
Density = 5.151 Mg/m³

Lattice parameters (Å, degrees): 8.4942 8.4942 3.3603 90.00 90.00 90.00
Closest atoms and distances in Å follow each position.
Fractional positions:
Ba: 0.0000 0.0000 0.0000  2 Ba 3.36, 4 Li 3.39, 8 Cd 3.58
Ba: 0.5000 0.5000 0.0000  2 Ba 3.36, 4 Li 3.39, 8 Cd 3.58
Li: 0.1187 0.3813 0.0000  1 Li 2.85, 6 Cd 2.99-3.06
Li: 0.3813 0.8813 0.0000  1 Li 2.85, 6 Cd 2.99-3.06
Li: 0.6187 0.1187 0.0000  1 Li 2.85, 6 Cd 2.99-3.06
Li: 0.8813 0.6187 0.0000  1 Li 2.85, 6 Cd 2.99-3.06
Cd: 0.1680 0.6680 0.5000  6 Li 2.99-3.06
Cd: 0.3320 0.1680 0.5000  6 Li 2.99-3.06
Cd: 0.6680 0.8320 0.5000  6 Li 2.99-3.06
Cd: 0.8320 0.3320 0.5000  6 Li 2.99-3.06

***

Version 2
The following is a GGA-PBEsol calculation of a relaxed structure of BaLi2Cd2, from Alexandria.

Space group = I4/mmm (139)
Density = 4.599 Mg/m³

Lattice parameters (Å, degrees): 7.4489 7.4489 7.4489 144.93 144.93 50.44
Closest atoms and distances in Å follow each position.
Fractional positions:
Ba: 0.0000 0.0000 0.0000  8 Cd 3.54
Li: 0.2500 0.7500 0.5000  4 Cd 2.88, 4 Li 3.17
Li: 0.7500 0.2500 0.5000  4 Cd 2.88, 4 Li 3.17
Cd: 0.3836 0.3836 0.0000  4 Li 2.88, 1 Cd 3.14
Cd: 0.6164 0.6164 0.0000  4 Li 2.88, 1 Cd 3.14

***

The structure with the least stability is version 1.

***

Version 1
The following is a GGA-PBEsol calculation of a relaxed structure of BaLiCd2, from Alexandria.

Space group = Pmmm (47)
Density = 5.740 Mg/m³

Lattice parameters (Å, degrees): 3.6224 3.7633 7.8323 90.00 90.00 90.00
Closest atoms and distances in Å follow each position.
Fractional positions:
Ba: 0.0000 0.0000 0.0000  8 Cd 3.59, 4 Ba 3.62-3.76, 2 Li 3.92
Li: 0.0000 0.0000 0.5000  8 Cd 2.99
Cd: 0.5000 0.5000 0.3146  1 Cd 2.90, 4 Li 2.99
Cd: 0.5000 0.5000 0.6854  1 Cd 2.90, 4 Li 2.99

***

Version 2
The following is a GGA-PBEsol calculation of a relaxed structure of BaLiCd2, from Alexandria.

Space group = R3m (160)
Density = 5.236 Mg/m³

Lattice parameters (Å, degrees): 6.3840 6.3840 6.3840 44.69 44.69 44.69
Closest atoms and distances in Å follow each position.
Fractional positions:
Ba: 0.0000 0.0000 0.0000  1 Li 3.30, 4 Cd 3.43-3.63
Li: 0.8081 0.8081 0.8081  6 Cd 2.82-2.97
Cd: 0.1991 0.1991 0.1991  3 Cd 2.88, 3 Li 2.97
Cd: 0.4951 0.4951 0.4951  3 Li 2.82, 3 Cd 2.88

***

The structure with the least stability is version 1.

***

Version 1
The following is a GGA-PBEsol calculation of a relaxed structure of BaLiCd2, from Alexandria.

Space group = Fm-3m (225)
Density = 5.314 Mg/m³

Lattice parameters (Å, degrees): 5.4638 5.4638 5.4638 60.00 60.00 60.00
Closest atoms and distances in Å follow each position.
Fractional positions:
Ba: 0.0000 0.0000 0.0000  8 Cd 3.35
Li: 0.5000 0.5000 0.5000  8 Cd 3.35
Cd: 0.2500 0.2500 0.2500  4 Ba 3.35, 4 Li 3.35
Cd: 0.7500 0.7500 0.7500  4 Ba 3.35, 4 Li 3.35

***

Version 2
The following is a GGA-PBEsol calculation of a relaxed structure of BaLiCd2, from Alexandria.

Space group = R-3m (166)
Density = 5.155 Mg/m³

Lattice parameters (Å, degrees): 6.4501 6.4501 6.4501 44.28 44.28 44.28
Closest atoms and distances in Å follow each position.
Fractional positions:
Ba: 0.0000 0.0000 0.0000  8 Cd 3.42-3.68
Li: 0.5000 0.5000 0.5000  6 Cd 2.85
Cd: 0.1964 0.1964 0.1964  3 Li 2.85, 3 Cd 2.99
Cd: 0.8036 0.8036 0.8036  3 Li 2.85, 3 Cd 2.99

***

The structure with the least stability is version 1.